The following is a PBE calculation of a relaxed structure of Ga3SnRh, from the Alexandria database.

Cell lengths 4.810, 4.810, 4.810 Å; angles 90.00, 90.00, 90.00 degrees
Atoms (fractional coordinates):
Ga1 0.000 0.000 0.500
Ga2 0.000 0.500 0.000
Ga3 0.500 0.000 0.000
Sn1 0.500 0.500 0.500
Rh1 0.000 0.000 0.000

Computed properties:
symmetry	No. 221
total energy	-20.85	eV per cell
ΔH_f (0 K)	-0.08	eV/atom
energy above the most stable polymorph in this dataset	0.0	meV per atom



The following is a PBE calculation of a relaxed structure of GaSnRh3, from the Alexandria database.

Cell lengths 6.383, 6.383, 4.753 Å; angles 90.00, 90.00, 120.00 degrees
Atoms (fractional coordinates):
Ga1 0.000 0.000 0.000
Ga2 0.000 0.000 0.500
Sn1 0.333 0.667 0.250
Sn2 0.667 0.333 0.750
Rh1 0.194 0.388 0.750
Rh2 0.194 0.806 0.750
Rh3 0.388 0.194 0.250
Rh4 0.612 0.806 0.750
Rh5 0.806 0.194 0.250
Rh6 0.806 0.612 0.250

Computed properties:
symmetry	No. 194
total energy	-59.10	eV per cell
ΔH_f (0 K)	-0.09	eV/atom
energy above the most stable polymorph in this dataset	0.0	meV per atom



The following is a PBE calculation of a relaxed structure of GaSnRh2, from the Alexandria database.

Cell lengths 3.040, 3.040, 6.813 Å; angles 90.00, 90.00, 90.00 degrees
Atoms (fractional coordinates):
Ga1 0.000 0.000 0.000
Sn1 0.000 0.000 0.500
Rh1 0.500 0.500 0.227
Rh2 0.500 0.500 0.773

Computed properties:
symmetry	No. 123
total energy	-23.69	eV per cell
ΔH_f (0 K)	-0.49	eV/atom
energy above the most stable polymorph in this dataset	0.0	meV per atom



Spin magnetization, respectively: 0.00; 0.00; 0.00 μB per formula unit.